This record from Alexandria describes a geometry-optimized AlV2Pd4 structure. The functional is PBE.

Structure (extended XYZ):
```
7
Lattice="-2.284 2.284 6.306 2.284 -2.284 6.306 2.284 2.284 -6.306" Properties=species:S:1:pos:R:3 pbc="T T T"
Al 0.000 0.000 0.000
V 0.000 0.000 4.840
V 0.000 0.000 7.772
Pd 2.284 0.000 0.000
Pd 0.000 0.000 2.415
Pd 0.000 2.284 0.000
Pd 0.000 0.000 10.198
```

Output
Space-group type   I4/mmm, No. 139
Calculated formation energy   0.424 eV per atom
Magnetization   5.52 μB per cell

This record from Alexandria describes a geometry-optimized Al2VPd structure. The functional is PBE.

Structure (extended XYZ):
```
4
Lattice="2.808 0.000 0.000 0.000 2.808 0.000 0.000 0.000 7.356" Properties=species:S:1:pos:R:3 pbc="T T T"
Al 0.000 0.000 1.789
Al 0.000 0.000 5.567
V 1.404 1.404 3.678
Pd 1.404 1.404 0.000
```

Output
Space-group type   P4/mmm, No. 123
Calculated formation energy   -0.521 eV per atom
Magnetization   0.00 μB per cell

This record from Alexandria describes a geometry-optimized AlV2Pd5 structure. The functional is PBE.

Structure (extended XYZ):
```
16
Lattice="5.447 0.000 0.000 0.000 10.803 0.000 0.000 0.000 4.066" Properties=species:S:1:pos:R:3 pbc="T T T"
Al 0.000 0.000 0.000
Al 2.724 5.402 0.000
V 1.033 3.868 2.033
V 1.690 9.270 2.033
V 3.757 1.533 2.033
V 4.414 6.935 2.033
Pd 0.000 5.402 0.000
Pd 0.304 8.175 0.000
Pd 1.052 1.135 2.033
Pd 1.672 6.536 2.033
Pd 2.420 2.773 0.000
Pd 2.724 0.000 0.000
Pd 3.028 8.030 0.000
Pd 3.775 4.267 2.033
Pd 4.396 9.668 2.033
Pd 5.144 2.629 0.000
```

Output
Space-group type   Pbam, No. 55
Calculated formation energy   -0.356 eV per atom
Magnetization   10.07 μB per cell

This record from Alexandria describes a geometry-optimized Al2V2Pd structure. The functional is PBE.

Structure (extended XYZ):
```
10
Lattice="6.337 0.000 0.000 0.000 6.337 0.000 0.000 0.000 3.760" Properties=species:S:1:pos:R:3 pbc="T T T"
Al 0.918 2.251 0.000
Al 2.251 5.419 0.000
Al 4.086 0.918 0.000
Al 5.419 4.086 0.000
V 0.933 4.101 1.880
V 2.236 0.933 1.880
V 4.101 5.404 1.880
V 5.404 2.236 1.880
Pd 0.000 0.000 0.000
Pd 3.168 3.168 0.000
```

Output
Space-group type   P4/mbm, No. 127
Calculated formation energy   -0.157 eV per atom
Magnetization   0.00 μB per cell

Q: Which value of magnetization does entry 3 give?
A: 10.07 μB per cell

Q: calculated formation energy of number 4 (Al2V2Pd)?
A: -0.157 eV per atom